[1]
VASP calculation (SCAN) on Ca2SiI2 at its PBEsol-relaxed geometry.

Structure (CIF):
```
data_Ca2SiI2
_symmetry_space_group_name_H-M 'I 4/m m m'
_symmetry_Int_Tables_number 139
_symmetry_space_group_name_Hall '-I 4 2'
_cell_length_a 5.929
_cell_length_b 5.929
_cell_length_c 9.221
_cell_angle_alpha 90.00
_cell_angle_beta 90.00
_cell_angle_gamma 90.00
loop_
_atom_site_label
_atom_site_fract_x
_atom_site_fract_y
_atom_site_fract_z
Ca1 0.000 0.500 0.250
Si1 0.000 0.000 0.000
I1 0.000 0.000 0.321
```

[2]
VASP calculation (SCAN) on ScCu2Ir at its PBEsol-relaxed geometry.

Structure (CIF):
```
data_ScCu2Ir
_symmetry_space_group_name_H-M 'P 4/m m m'
_symmetry_Int_Tables_number 123
_symmetry_space_group_name_Hall '-P 4 2'
_cell_length_a 3.738
_cell_length_b 3.738
_cell_length_c 3.951
_cell_angle_alpha 90.00
_cell_angle_beta 90.00
_cell_angle_gamma 90.00
loop_
_atom_site_label
_atom_site_fract_x
_atom_site_fract_y
_atom_site_fract_z
Sc1 0.000 0.000 0.000
Cu1 0.000 0.500 0.500
Ir1 0.500 0.500 0.000
```

Properties
As for the excess energy over the best structure of this formula in the dataset: 0.000 eV per atom. Its formation energy is -477 meV per atom.

no.,total energy (Ry/atom),ρ (g/cm3),V (Å³/cell)
1,-1.548,3.71,324
2,-2.162,10.96,55